A geometry-optimized Cd2SO5 structure. Source: the Open Quantum Materials Database, functional PBE.

CIF file:
```
data_Cd2SO5
_chemical_formula_sum 'Cd8 S4 O20'
_symmetry_space_group_name_H-M 'C 1 2/m 1'
_symmetry_Int_Tables_number 12
_cell_length_a 10.127
_cell_length_b 6.775
_cell_length_c 7.449
_cell_angle_alpha 90.00
_cell_angle_beta 116.87
_cell_angle_gamma 90.00
loop_
_symmetry_equiv_pos_as_xyz
'x,y,z'
'-x,-y,-z'
'-x,y,-z'
'x,-y,z'
'x+1/2,y+1/2,z'
'-x+1/2,-y+1/2,-z'
'-x+1/2,y+1/2,-z'
'x+1/2,-y+1/2,z'
loop_
_atom_site_label
_atom_site_type_symbol
_atom_site_fract_x
_atom_site_fract_y
_atom_site_fract_z
Cd1 Cd 0.073 0.000 0.258
Cd2 Cd 0.250 0.250 0.000
S1 S 0.103 0.500 0.328
O1 O 0.005 0.322 0.268
O2 O 0.140 0.000 0.012
O3 O 0.191 0.500 0.550
O4 O 0.202 0.500 0.230
```

Computed properties:
The calculation puts the excess energy over the best structure of this formula in the dataset at 0 meV per atom.